First-principles (PBE) data for a geometry-optimized NdYTh2Bi5 structure, as listed in Alexandria.

Summary:
For the density of states at the Fermi level, the calculation gives 5.2 states/eV per cell. As for the total magnetization: 0.00 μB/f.u. As for the raw total energy: -4.9007 eV per atom.

Cell: 5.541 5.541 11.774 Å, 90.00 90.00 90.00°
Space group P4/mmm (No. 123)
One atom of each set of equivalent atoms:
Nd (0.000, 0.000, 0.000)
Y (0.000, 0.000, 0.500)
Th (0.500, 0.500, 0.200)
Bi (0.000, 0.000, 0.255)
Bi (0.000, 0.500, 0.000)
Bi (0.500, 0.500, 0.500)